# Dy7Te2C2 | Alexandria | PBE | relaxed
data_Dy7Te2C2
_space_group_name_H-M_alt 'C 1 2/m 1'
_space_group_IT_number 12
_space_group_name_Hall '-C 2y'
_cell_length_a 7.747
_cell_length_b 11.443
_cell_length_c 7.645
_cell_angle_alpha 90.00
_cell_angle_beta 98.46
_cell_angle_gamma 90.00
loop_
_atom_site_label
_atom_site_type_symbol
_atom_site_fract_x
_atom_site_fract_y
_atom_site_fract_z
_atom_site_occupancy
Dy1 Dy 0.000 0.000 0.000 1
Dy2 Dy 0.087 0.500 0.814 1
Dy3 Dy 0.236 0.306 0.208 1
Te1 Te 0.000 0.316 0.500 1
C1 C 0.215 0.500 0.119 1
# Uncorrected energy ... -5.55 eV per atom
# DOS(E_F) ... 0.69 states/eV per atom

=====

# Tb5Pr3Nd2 | Alexandria | PBE | relaxed
data_Tb5Pr3Nd2
_space_group_name_H-M_alt 'C 1 2/c 1'
_space_group_IT_number 15
_space_group_name_Hall '-C 2yc'
_cell_length_a 10.806
_cell_length_b 16.728
_cell_length_c 9.310
_cell_angle_alpha 90.00
_cell_angle_beta 125.45
_cell_angle_gamma 90.00
loop_
_atom_site_label
_atom_site_type_symbol
_atom_site_fract_x
_atom_site_fract_y
_atom_site_fract_z
_atom_site_occupancy
Tb1 Tb 0.000 0.027 0.250 1
Tb2 Tb 0.000 0.274 0.750 1
Tb3 Tb 0.000 0.471 0.750 1
Tb4 Tb 0.248 0.384 0.244 1
Pr1 Pr 0.000 0.229 0.250 1
Pr2 Pr 0.147 0.124 0.044 1
Nd1 Nd 0.146 0.379 0.542 1
# Polymorph energy (0 for the lowest one) ... 0.0 meV/atom
# Formation energy ... 0.176 eV per atom
# DOS(E_F) ... 1.61 states/eV per atom

=====

# CuSnHg | Alexandria | PBE | relaxed
data_CuSnHg
_space_group_name_H-M_alt 'P 3 m 1'
_space_group_IT_number 156
_space_group_name_Hall 'P 3 -2"'
_cell_length_a 3.4752
_cell_length_b 3.4752
_cell_length_c 6.1833
_cell_angle_alpha 90.00
_cell_angle_beta 90.00
_cell_angle_gamma 120.00
loop_
_atom_site_label
_atom_site_type_symbol
_atom_site_fract_x
_atom_site_fract_y
_atom_site_fract_z
_atom_site_occupancy
Cu1 Cu 0.0000 0.0000 0.0000 1
Sn1 Sn 0.6667 0.3333 0.2955 1
Hg1 Hg 0.3333 0.6667 0.6978 1
# Polymorph energy (0 for the lowest one) ... 92.3 meV/atom
# Formation energy ... 0.164 eV per atom
# DOS(E_F) ... 0.62 states/eV per atom

=====

# HRh2Se | Alexandria | PBE | relaxed
data_HRh2Se
_space_group_name_H-M_alt 'I -4 2 d'
_space_group_IT_number 122
_space_group_name_Hall 'I -4 2bw'
_cell_length_a 4.865
_cell_length_b 4.865
_cell_length_c 9.259
_cell_angle_alpha 90.00
_cell_angle_beta 90.00
_cell_angle_gamma 90.00
loop_
_atom_site_label
_atom_site_type_symbol
_atom_site_fract_x
_atom_site_fract_y
_atom_site_fract_z
_atom_site_occupancy
H1 H 0.000 0.000 0.000 1
Rh1 Rh 0.147 0.250 0.125 1
Se1 Se 0.000 0.000 0.500 1
# Polymorph energy (0 for the lowest one) ... 0.0 meV/atom
# DOS(E_F) ... 0.77 states/eV per atom

=====

# CaLaRh2Br | Alexandria | PBE | relaxed
data_CaLaRh2Br
_space_group_name_H-M_alt 'P 4/m m m'
_space_group_IT_number 123
_space_group_name_Hall '-P 4 2'
_cell_length_a 4.975
_cell_length_b 4.975
_cell_length_c 5.853
_cell_angle_alpha 90.00
_cell_angle_beta 90.00
_cell_angle_gamma 90.00
loop_
_atom_site_label
_atom_site_type_symbol
_atom_site_fract_x
_atom_site_fract_y
_atom_site_fract_z
_atom_site_occupancy
Ca1 Ca 0.000 0.000 0.000 1
La1 La 0.500 0.500 0.500 1
Rh1 Rh 0.000 0.500 0.500 1
Br1 Br 0.500 0.500 0.000 1
# Uncorrected energy ... -4.85 eV per atom
# DOS(E_F) ... 0.26 states/eV per atom

=====

# BiSeI2O | Alexandria | PBE | relaxed
data_BiSeI2O
_space_group_name_H-M_alt 'P 4/m m m'
_space_group_IT_number 123
_space_group_name_Hall '-P 4 2'
_cell_length_a 6.032
_cell_length_b 6.032
_cell_length_c 3.828
_cell_angle_alpha 90.00
_cell_angle_beta 90.00
_cell_angle_gamma 90.00
loop_
_atom_site_label
_atom_site_type_symbol
_atom_site_fract_x
_atom_site_fract_y
_atom_site_fract_z
_atom_site_occupancy
Bi1 Bi 0.000 0.000 0.000 1
Se1 Se 0.500 0.500 0.500 1
I1 I 0.000 0.500 0.500 1
O1 O 0.500 0.500 0.000 1
# Polymorph energy (0 for the lowest one) ... 0.0 meV/atom
# DOS(E_F) ... 0.84 states/eV per atom

=====

# ZrTc2SbIr | Alexandria | PBE | relaxed
data_ZrTc2SbIr
_space_group_name_H-M_alt 'P 4/m m m'
_space_group_IT_number 123
_space_group_name_Hall '-P 4 2'
_cell_length_a 4.721
_cell_length_b 4.721
_cell_length_c 5.141
_cell_angle_alpha 90.00
_cell_angle_beta 90.00
_cell_angle_gamma 90.00
loop_
_atom_site_label
_atom_site_type_symbol
_atom_site_fract_x
_atom_site_fract_y
_atom_site_fract_z
_atom_site_occupancy
Zr1 Zr 0.000 0.000 0.000 1
Tc1 Tc 0.000 0.500 0.500 1
Sb1 Sb 0.000 0.000 0.500 1
Ir1 Ir 0.500 0.500 0.000 1
# Uncorrected energy ... -6.66 eV per atom
# DOS(E_F) ... 1.25 states/eV per atom

=====

# BiH2OsW | Alexandria | PBE | relaxed
data_BiH2OsW
_space_group_name_H-M_alt 'P 4/m m m'
_space_group_IT_number 123
_space_group_name_Hall '-P 4 2'
_cell_length_a 3.834
_cell_length_b 3.834
_cell_length_c 5.038
_cell_angle_alpha 90.00
_cell_angle_beta 90.00
_cell_angle_gamma 90.00
loop_
_atom_site_label
_atom_site_type_symbol
_atom_site_fract_x
_atom_site_fract_y
_atom_site_fract_z
_atom_site_occupancy
Bi1 Bi 0.000 0.000 0.000 1
H1 H 0.000 0.500 0.500 1
Os1 Os 0.500 0.500 0.000 1
W1 W 0.500 0.500 0.500 1
# Uncorrected energy ... -6.02 eV per atom
# DOS(E_F) ... 0.63 states/eV per atom

=====

> The lowest DOS(E_F) belongs to which entry?

CaLaRh2Br

=====

> What is the DOS(E_F) in the third record?

0.62 states/eV per atom

=====

> What is the DOS(E_F) in the fifth record?

0.26 states/eV per atom

=====

> The lowest DOS(E_F) belongs to which entry?

CaLaRh2Br